Record 1
# PmGdAlSi

An optimized crystal structure of PmGdAlSi (PBE-GGA, the Alexandria database).

Properties
crystal system	cubic
formation energy (no corrections)	-1.5	eV per formula unit
DFT total energy	-7.37	eV per atom

Cell lengths 7.2497, 7.2497, 7.2497 Å; angles 90.00, 90.00, 90.00 degrees
Closest atoms and distances in Å follow each position.
Space group F-43m (No. 216)
Asymmetric unit:
Pm  0.0000  0.0000  0.0000 (multiplicity 4)  4 Al 3.14, 4 Si 3.14
Gd  0.0000  0.0000  0.5000 (multiplicity 4)  4 Al 3.14, 4 Si 3.14
Al  0.2500  0.2500  0.2500 (multiplicity 4)  4 Gd 3.14, 4 Pm 3.14
Si  0.2500  0.2500  0.7500 (multiplicity 4)  4 Gd 3.14, 4 Pm 3.14

Record 2
# Y3Er3Sc

An optimized crystal structure of Y3Er3Sc (PBE-GGA, the Alexandria database).

Properties
crystal system	trigonal
DFT total energy	-5.47	eV per atom
formation enthalpy at 0 K	15	kJ per mole of atoms
energy above the lowest structure with this stoichiometry	0	meV per atom

Cell lengths 6.1270, 6.1270, 41.1882 Å; angles 90.00, 90.00, 120.00 degrees
Closest atoms and distances in Å follow each position.
Space group R-3 (No. 148, hexagonal axes)
Asymmetric unit:
Y  0.0001  0.3344  0.4362 (multiplicity 18)  2 Sc 3.33, 3 Er 3.49-3.50, 6 Y 3.53-3.55
Er  0.0002  0.3315  0.6326 (multiplicity 18)  9 Er 3.47-3.55, 3 Y 3.49-3.50
Sc  0.0000  0.0000  0.1667 (multiplicity 6)  6 Y 3.33, 3 Sc 3.54

Record 3
# La12Co2Ir5

An optimized crystal structure of La12Co2Ir5 (PBE-GGA, the Alexandria database).

Properties
crystal system	monoclinic
DFT total energy	-6.68	eV per atom
formation enthalpy at 0 K	-47	kJ per mole of atoms

Cell lengths 16.5834, 7.6336, 9.2134 Å; angles 90.00, 105.57, 90.00 degrees
Closest atoms and distances in Å follow each position.
Space group C2/m (No. 12)
Asymmetric unit:
La  0.0029  0.0000  0.2742 (multiplicity 4)  2 Co 2.79, 1 Ir 2.93
La  0.0147  0.5000  0.3053 (multiplicity 4)  2 Co 2.72, 1 Ir 2.76
La  0.1516  0.2525  0.0662 (multiplicity 8)  4 Ir 2.97-3.07
La  0.1715  0.2362  0.5982 (multiplicity 8)  1 Co 2.74, 2 Ir 2.92-3.05
Co  0.0000  0.2422  0.5000 (multiplicity 4)  6 La 2.72-2.79
Ir  0.0000  0.5000  0.0000 (multiplicity 2)  6 La 2.76-3.07
Ir  0.1855  0.0000  0.3349 (multiplicity 4)  7 La 2.93-3.08
Ir  0.1972  0.0000  0.8564 (multiplicity 4)  7 La 2.92-3.21

Record 4
# Fe2SiNi

An optimized crystal structure of Fe2SiNi (PBE-GGA, the Alexandria database).

Properties
crystal system	tetragonal
formation energy (no corrections)	-0.9	eV per formula unit
DFT total energy	-7.27	eV per atom

Cell lengths 2.8975, 2.8975, 5.3674 Å; angles 90.00, 90.00, 90.00 degrees
Closest atoms and distances in Å follow each position.
Space group P4mm (No. 99)
Asymmetric unit:
Fe  0.0000  0.0000  0.0000 (multiplicity 1)  4 Si 2.43, 4 Fe 2.44, 1 Ni 2.59
Fe  0.5000  0.5000  0.2479 (multiplicity 1)  4 Fe 2.44, 4 Ni 2.51, 1 Si 2.63
Si  0.5000  0.5000  0.7582 (multiplicity 1)  4 Ni 2.42, 5 Fe 2.43-2.63
Ni  0.0000  0.0000  0.5178 (multiplicity 1)  4 Si 2.42, 5 Fe 2.51-2.59

Record 5
# Dy4Tl2Ni

An optimized crystal structure of Dy4Tl2Ni (PBE-GGA, the Alexandria database).

Properties
crystal system	monoclinic
DFT total energy	-4.26	eV per atom
formation enthalpy at 0 K	-12	kJ per mole of atoms

Cell lengths 6.8219, 3.7461, 8.3350 Å; angles 90.00, 104.49, 90.00 degrees
Closest atoms and distances in Å follow each position.
Space group P2/m (No. 10)
Asymmetric unit:
Dy  0.1622  0.0000  0.3377 (multiplicity 2)  1 Ni 2.75
Dy  0.2475  0.5000  0.9738 (multiplicity 2)  2 Ni 2.57
Tl  0.4081  0.5000  0.6565 (multiplicity 2)  6 Dy 3.11-3.47, 1 Tl 3.16
Ni  0.0000  0.0000  0.0000 (multiplicity 1)  6 Dy 2.57-2.75

Record 6
# Fe4Ir4Rh5

An optimized crystal structure of Fe4Ir4Rh5 (PBE-GGA, the Alexandria database).

Properties
crystal system	tetragonal
DFT total energy	-8.19	eV per atom
formation enthalpy at 0 K	-3	kJ per mole of atoms

Cell lengths 9.6478, 9.6478, 3.8344 Å; angles 90.00, 90.00, 90.00 degrees
Closest atoms and distances in Å follow each position.
Space group I4/m (No. 87)
Asymmetric unit:
Fe  0.1516  0.2286  0.0000 (multiplicity 8)  6 Rh 2.65-2.70, 4 Ir 2.65-2.69, 2 Fe 2.73
Ir  0.0803  0.6166  0.0000 (multiplicity 8)  4 Fe 2.65-2.69, 3 Rh 2.67-2.68, 5 Ir 2.72-2.73
Rh  0.0000  0.0000  0.0000 (multiplicity 2)  4 Fe 2.65, 8 Rh 2.70
Rh  0.0423  0.8073  0.5000 (multiplicity 8)  5 Fe 2.66-2.70, 3 Ir 2.67-2.68, 4 Rh 2.69-2.70

Number 1: magnetic moment 7.03 μB/f.u.. Number 2: magnetic moment 0.00 μB/f.u.. Number 3: magnetic moment 0.00 μB/f.u.. Number 4: magnetic moment 4.52 μB/f.u.. Number 5: magnetic moment 0.00 μB/f.u.. Number 6: magnetic moment 12.23 μB/f.u..